*1*
Computed, not measured: VSb2TeRh after structural relaxation at the PBE level of DFT.

Calculated values
Its calculated volume is 135 Å³/cell. Its crystal system is tetragonal. Its density of states at the Fermi level is 9.1 states/eV per cell. As for the symmetry: No. 123. The value obtained for the total magnetization is 0.02 μB/atom.

abc: 5.0368 5.0368 5.3274
angles: 90.00 90.00 90.00
With the nearest neighbours (Å) after each atom.
Element x y z (fractional)
V  0.0000  0.0000  0.0000  4 Te 3.56, 8 Sb 3.67
Sb  0.0000  0.5000  0.5000  2 Rh 2.52
Sb  0.5000  0.0000  0.5000  2 Rh 2.52
Te  0.5000  0.5000  0.0000  2 Rh 2.66
Rh  0.5000  0.5000  0.5000  4 Sb 2.52, 2 Te 2.66

***

*2*
Computed, not measured: VSb2TeRh after structural relaxation at the PBE level of DFT.

Calculated values
Its calculated volume is 127 Å³/cell. Its crystal system is tetragonal. Its density of states at the Fermi level is 4.1 states/eV per cell. As for the symmetry: No. 123. The value obtained for the total magnetization is 0.00 μB/atom.

abc: 5.0287 5.0287 5.0256
angles: 90.00 90.00 90.00
With the nearest neighbours (Å) after each atom.
Element x y z (fractional)
V  0.0000  0.0000  0.0000  2 Te 2.51, 4 Sb 2.51
Sb  0.0000  0.5000  0.0000  2 V 2.51
Sb  0.5000  0.0000  0.0000  2 V 2.51
Te  0.0000  0.0000  0.5000  2 V 2.51
Rh  0.5000  0.5000  0.5000  8 Sb 3.55, 4 Te 3.56

***

Result of the stability comparison: *1* is the least stable of them.